No. 1
GGA-PBE La2Hg3O6, relaxed; final energy = -5.4416 eV per atom; ΔE_f (raw) = -1.76 eV/atom; crystal system = monoclinic
1.0
-3.2413 3.4902 -4.9823
-3.2341 -3.4010 -5.0464
-12.9913 -0.0356 3.6588
La Hg O
4 6 12
direct
0.3351 0.8351 0.9948
0.8350 0.3351 0.4948
0.6649 0.1649 0.0052
0.1650 0.6649 0.5052
0.0414 0.9591 0.7499
0.4593 0.2500 0.7500
0.7504 0.5409 0.7501
0.2496 0.4591 0.2499
0.9586 0.0409 0.2501
0.5407 0.7500 0.2500
0.0335 0.9738 0.8969
0.4746 0.0955 0.8968
0.5965 0.5328 0.8970
0.0959 0.4738 0.3969
0.9737 0.0328 0.3970
0.5332 0.5955 0.3968
0.9665 0.0262 0.1031
0.5254 0.9045 0.1032
0.4035 0.4672 0.1030
0.9041 0.5262 0.6031
0.0263 0.9672 0.6030
0.4668 0.4045 0.6032


No. 2
GGA-PBE LaHg2O, relaxed; final energy = -3.7204 eV per atom; ΔE_f (raw) = -1.10 eV/atom; crystal system = tetragonal
1.0
10.6681 0.0000 0.0000
0.0000 10.6681 0.0000
5.3341 5.3341 2.1750
Hg O La
4 2 2
direct
0.5259 0.1250 0.2500
0.2241 0.6250 0.2500
0.3750 0.4741 0.7500
0.8750 0.7759 0.7500
0.5000 0.5000 0.0000
0.2500 0.7500 0.5000
0.0000 0.0000 0.0000
0.7500 0.2500 0.5000


No. 3
GGA-PBE LaHgO, relaxed; final energy = -5.5378 eV per atom; ΔE_f (raw) = -2.14 eV/atom; crystal system = tetragonal
1.0
4.1304 0.0001 -0.0015
0.0000 4.1304 0.0017
-0.0011 0.0009 8.1146
La Hg O
2 2 2
direct
0.2499 0.7501 0.3538
0.7501 0.2499 0.6462
0.2501 0.7498 0.9096
0.7499 0.2502 0.0904
0.7500 0.7500 0.5000
0.2500 0.2500 0.5000


No. 4
GGA-PBE LaHgO3, relaxed; final energy = -5.0889 eV per atom; ΔE_f (raw) = -1.07 eV/atom; crystal system = cubic
1.0
4.4436 0.0000 0.0000
0.0000 4.4436 0.0000
0.0000 0.0000 4.4436
Hg O La
1 3 1
direct
0.5000 0.5000 0.5000
0.0000 0.5000 0.0000
0.0000 0.0000 0.5000
0.5000 0.0000 0.0000
0.0000 0.0000 0.0000


No. 5
GGA-PBE La2HgO, relaxed; final energy = -5.2921 eV per atom; ΔE_f (raw) = -1.51 eV/atom; crystal system = trigonal
1.0
3.8318 0.0000 0.0000
1.9159 3.3185 0.0000
1.9159 1.1062 7.8047
Hg O La
1 1 2
direct
0.5000 0.5000 0.5000
0.0000 0.0000 0.0000
0.7251 0.7251 0.8248
0.2749 0.2749 0.1752


No. 6
GGA-PBE La2HgO, relaxed; final energy = -5.3377 eV per atom; ΔE_f (raw) = -1.56 eV/atom; crystal system = tetragonal
1.0
-1.7457 -5.0597 4.7513
6.9370 -1.4352 1.0204
2.7359 -0.3056 6.0702
Hg O La
2 2 4
direct
0.0000 0.0000 0.0000
0.7500 0.2500 0.5000
0.5000 0.5000 0.0000
0.2500 0.7500 0.5000
0.5318 0.1250 0.2500
0.2182 0.6250 0.2500
0.3750 0.4682 0.7500
0.8750 0.7818 0.7500


No. 7
GGA-PBE LaHgO3, relaxed; final energy = -5.2964 eV per atom; ΔE_f (raw) = -1.28 eV/atom; crystal system = cubic
1.0
-3.5173 2.3112 -0.3443
-2.3019 -3.3201 1.2287
0.4018 1.2111 4.0253
Hg O La
1 3 1
direct
0.0000 0.0000 0.0000
0.0000 0.5000 0.0000
0.0000 0.0000 0.5000
0.5000 0.0000 0.0000
0.5000 0.5000 0.5000


No. 8
GGA-PBE La2HgO, relaxed; final energy = -5.3853 eV per atom; ΔE_f (raw) = -1.61 eV/atom; crystal system = monoclinic
1.0
-2.3899 -3.7626 -1.7667
3.8973 -1.3767 -2.4302
2.3754 -4.0997 7.7650
La Hg O
4 2 2
direct
0.7898 0.7898 0.8428
0.7490 0.2510 0.5000
0.2102 0.2102 0.1572
0.2510 0.7490 0.5000
0.3011 0.3011 0.8032
0.6989 0.6989 0.1968
0.2352 0.2352 0.4193
0.7648 0.7648 0.5807


No. 9
GGA-PBE LaHgO3, relaxed; final energy = -5.5897 eV per atom; ΔE_f (raw) = -1.57 eV/atom; crystal system = monoclinic
1.0
3.6122 0.0000 0.4035
0.0000 6.3929 0.0000
0.5901 0.0000 7.1796
La Hg O
2 2 6
direct
0.8152 0.7500 0.3615
0.1848 0.2500 0.6385
0.5550 0.7500 0.8740
0.4450 0.2500 0.1260
0.3851 0.9334 0.1858
0.6149 0.0666 0.8142
0.3851 0.5666 0.1858
0.6149 0.4334 0.8142
0.2286 0.7500 0.5785
0.7714 0.2500 0.4215


No. 10
GGA-PBE LaHgOsO6, relaxed; final energy = -6.5396 eV per atom; ΔE_f (raw) = -1.41 eV/atom; crystal system = monoclinic
1.0
5.7827 -0.0016 0.0006
2.8900 5.0078 -0.0025
0.0006 -0.0034 4.7400
La Hg Os O
1 1 1 6
direct
0.6667 0.6667 0.5000
0.0001 0.0000 0.0000
0.3333 0.3333 0.5000
0.0580 0.3417 0.2723
0.3417 0.0581 0.7277
0.5999 0.3422 0.7278
0.0578 0.6004 0.7279
0.3420 0.5999 0.2723
0.6002 0.0578 0.2720


No. 11
GGA-PBE LaHgP2O, relaxed; final energy = -4.3035 eV per atom; ΔE_f (raw) = -0.10 eV/atom; crystal system = tetragonal
1.0
-2.2753 4.3916 0.2810
-1.3354 -0.9905 4.6667
3.6816 1.8154 1.4388
P Hg O La
2 1 1 1
direct
0.0000 0.5000 0.0000
0.5000 0.0000 0.0000
0.0000 0.0000 0.0000
0.0000 0.0000 0.5000
0.5000 0.5000 0.5000


No. 12
GGA-PBE LaHgP2O, relaxed; final energy = -4.1865 eV per atom; ΔE_f (raw) = 0.01 eV/atom; crystal system = tetragonal
1.0
5.8299 0.0000 0.0000
0.0000 5.8299 0.0000
0.0000 0.0000 4.2894
P Hg O La
2 1 1 1
direct
0.0000 0.5000 0.0000
0.5000 0.0000 0.0000
0.5000 0.5000 0.5000
0.0000 0.0000 0.5000
0.0000 0.0000 0.0000